Record 1
The following is a DFT calculation (GGA-PBE) of CaZnRe2 after structural relaxation.

The value obtained for the total energy is -25.7 eV for the cell shown. The calculation puts the total magnetization at 0.0 μB per cell. The calculation puts the formation energy at 0.6144 eV per atom. The space group is P4/mmm.

Cell: 2.6913 2.6913 9.2712 Å, 90.00 90.00 90.00°
Closest atoms and distances in Å follow each position.
Fractional positions:
Ca: 0.0000 0.0000 0.0000  4 Ca 2.69
Zn: 0.0000 0.0000 0.5000  4 Zn 2.69, 8 Re 2.82
Re: 0.5000 0.5000 0.2759  4 Re 2.69, 4 Zn 2.82
Re: 0.5000 0.5000 0.7241  4 Re 2.69, 4 Zn 2.82

---

Record 2
The following is a DFT calculation (GGA-PBE) of LiZn3Ag4 after structural relaxation.

The excess energy over the best structure of this formula in the dataset is 0 meV/atom. The value obtained for the total energy is -35.9 eV for the cell shown. The calculation puts the total magnetization at 0.0 μB per cell. The calculation puts the formation energy at -0.1030 eV per atom. The space group is C2/m.

Cell: 15.6673 4.1317 4.1318 Å, 90.00 105.21 90.00°
Closest atoms and distances in Å follow each position.
Fractional positions:
Li: 0.0000 0.0000 0.0000  8 Ag 2.80, 4 Zn 2.92
Li: 0.5000 0.5000 0.0000  8 Ag 2.80, 4 Zn 2.92
Zn: 0.0000 0.5000 0.5000  8 Ag 2.79-2.80, 4 Li 2.92
Zn: 0.2488 0.0000 0.2481  8 Ag 2.79-2.82, 4 Zn 2.92-2.93
Zn: 0.2512 0.5000 0.7519  8 Ag 2.79-2.82, 4 Zn 2.92-2.93
Zn: 0.5000 0.0000 0.5000  8 Ag 2.79-2.80, 4 Li 2.92
Zn: 0.7488 0.5000 0.2481  8 Ag 2.79-2.82, 4 Zn 2.92-2.93
Zn: 0.7512 0.0000 0.7519  8 Ag 2.79-2.82, 4 Zn 2.92-2.93
Ag: 0.1246 0.0000 0.6240  6 Zn 2.79-2.82, 2 Li 2.80, 4 Ag 2.92-2.93
Ag: 0.1246 0.5000 0.1254  6 Zn 2.79-2.82, 2 Li 2.80, 4 Ag 2.92-2.93
Ag: 0.3754 0.0000 0.8746  6 Zn 2.79-2.82, 2 Li 2.80, 4 Ag 2.92-2.93
Ag: 0.3754 0.5000 0.3760  6 Zn 2.79-2.82, 2 Li 2.80, 4 Ag 2.92-2.93
Ag: 0.6246 0.0000 0.1254  6 Zn 2.79-2.82, 2 Li 2.80, 4 Ag 2.92-2.93
Ag: 0.6246 0.5000 0.6240  6 Zn 2.79-2.82, 2 Li 2.80, 4 Ag 2.92-2.93
Ag: 0.8754 0.0000 0.3760  6 Zn 2.79-2.82, 2 Li 2.80, 4 Ag 2.92-2.93
Ag: 0.8754 0.5000 0.8746  6 Zn 2.79-2.82, 2 Li 2.80, 4 Ag 2.92-2.93